Entry 1:
! LaPd6Pt2 PBE optimized geometry; values from VASP
&SYSTEM
  ibrav = 0, nat = 18, ntyp = 3
/
ATOMIC_SPECIES
La 138.91 La.upf
Pd 106.42 Pd.upf
Pt 195.08 Pt.upf
ATOMIC_POSITIONS crystal
La 0.1250 0.1250 0.1250
La 0.8750 0.8750 0.8750
Pd 0.1155 0.1155 0.6345
Pd 0.1155 0.6345 0.1155
Pd 0.1155 0.6345 0.6345
Pd 0.3655 0.3655 0.8845
Pd 0.3655 0.8845 0.3655
Pd 0.3655 0.8845 0.8845
Pd 0.6345 0.1155 0.1155
Pd 0.6345 0.1155 0.6345
Pd 0.6345 0.6345 0.1155
Pd 0.8845 0.3655 0.3655
Pd 0.8845 0.3655 0.8845
Pd 0.8845 0.8845 0.3655
Pt 0.0000 0.5000 0.5000
Pt 0.5000 0.0000 0.5000
Pt 0.5000 0.5000 0.0000
Pt 0.5000 0.5000 0.5000
CELL_PARAMETERS angstrom
0.0000 5.7750 5.7750
5.7750 0.0000 5.7750
5.7750 5.7750 0.0000
! energy relative to the elements = 0.2013 eV per atom
! magnetic moment = 0.0 μB/f.u.
! SG = No. 227

---

Entry 2:
! LaPdPt3 PBE optimized geometry; values from VASP
&SYSTEM
  ibrav = 0, nat = 5, ntyp = 3
/
ATOMIC_SPECIES
La 138.91 La.upf
Pd 106.42 Pd.upf
Pt 195.08 Pt.upf
ATOMIC_POSITIONS crystal
La 0.0000 0.0000 0.0000
Pd 0.5000 0.5000 0.5000
Pt 0.0000 0.0000 0.5000
Pt 0.0000 0.5000 0.0000
Pt 0.5000 0.0000 0.0000
CELL_PARAMETERS angstrom
5.1642 0.0000 0.0000
0.0000 5.1642 0.0000
0.0000 0.0000 5.1642
! energy relative to the elements = 1.1383 eV per atom
! magnetic moment = 0.0 μB/f.u.
! SG = No. 221

---

Entry 3:
! La3PdPt8 PBE optimized geometry; values from VASP
&SYSTEM
  ibrav = 0, nat = 12, ntyp = 3
/
ATOMIC_SPECIES
La 138.91 La.upf
Pd 106.42 Pd.upf
Pt 195.08 Pt.upf
ATOMIC_POSITIONS crystal
La 0.0000 0.0000 0.0000
La 0.1308 0.1308 0.1308
La 0.5207 0.5207 0.5207
Pd 0.6409 0.6409 0.6409
Pt 0.0689 0.5702 0.5702
Pt 0.0714 0.0714 0.5679
Pt 0.0714 0.5679 0.0714
Pt 0.3199 0.3199 0.3199
Pt 0.5679 0.0714 0.0714
Pt 0.5702 0.0689 0.5702
Pt 0.5702 0.5702 0.0689
Pt 0.8203 0.8203 0.8203
CELL_PARAMETERS angstrom
2.7448 1.5847 8.9683
-2.7448 1.5847 8.9683
0.0000 -3.1694 8.9683
! energy relative to the elements = -0.9498 eV per atom
! magnetic moment = 0.0 μB/f.u.
! SG = No. 160

---

Entry 4:
! La2Pd2Pt15 PBE optimized geometry; values from VASP
&SYSTEM
  ibrav = 0, nat = 19, ntyp = 3
/
ATOMIC_SPECIES
La 138.91 La.upf
Pd 106.42 Pd.upf
Pt 195.08 Pt.upf
ATOMIC_POSITIONS crystal
La 0.1634 0.1634 0.1634
La 0.8366 0.8366 0.8366
Pd 0.3966 0.3966 0.3966
Pd 0.6034 0.6034 0.6034
Pt 0.0000 0.5000 0.5000
Pt 0.1545 0.1545 0.6611
Pt 0.1545 0.6611 0.1545
Pt 0.1916 0.5000 0.8084
Pt 0.1916 0.8084 0.5000
Pt 0.3389 0.8455 0.8455
Pt 0.5000 0.0000 0.5000
Pt 0.5000 0.1916 0.8084
Pt 0.5000 0.5000 0.0000
Pt 0.5000 0.8084 0.1916
Pt 0.6611 0.1545 0.1545
Pt 0.8084 0.1916 0.5000
Pt 0.8084 0.5000 0.1916
Pt 0.8455 0.3389 0.8455
Pt 0.8455 0.8455 0.3389
CELL_PARAMETERS angstrom
4.6765 2.7000 4.4603
-4.6765 2.7000 4.4603
0.0000 -5.4000 4.4603
! energy relative to the elements = -0.4784 eV per atom
! magnetic moment = 0.0 μB/f.u.
! SG = No. 166

---

Entry 5:
! LaPdPt PBE optimized geometry; values from VASP
&SYSTEM
  ibrav = 0, nat = 3, ntyp = 3
/
ATOMIC_SPECIES
La 138.91 La.upf
Pd 106.42 Pd.upf
Pt 195.08 Pt.upf
ATOMIC_POSITIONS crystal
La 0.0000 0.0000 0.0000
Pd 0.3234 0.3234 0.0000
Pt 0.6639 0.6639 0.0000
CELL_PARAMETERS angstrom
-1.8730 1.8730 4.5892
1.8730 -1.8730 4.5892
1.8730 1.8730 -4.5892
! energy relative to the elements = -0.7470 eV per atom
! magnetic moment = 0.0 μB/f.u.
! SG = No. 107

---

Entry 6:
! La2PdPt PBE optimized geometry; values from VASP
&SYSTEM
  ibrav = 0, nat = 4, ntyp = 3
/
ATOMIC_SPECIES
La 138.91 La.upf
Pd 106.42 Pd.upf
Pt 195.08 Pt.upf
ATOMIC_POSITIONS crystal
La 0.0000 0.5000 0.0000
La 0.5000 0.0000 0.0000
Pd 0.0000 0.0000 0.5000
Pt 0.5000 0.5000 0.5000
CELL_PARAMETERS angstrom
5.1945 0.0000 0.0000
0.0000 5.1945 0.0000
0.0000 0.0000 3.6546
! energy relative to the elements = -0.9265 eV per atom
! magnetic moment = 0.0 μB/f.u.
! SG = No. 123

---

Entry 7:
! La3PdPt3 PBE optimized geometry; values from VASP
&SYSTEM
  ibrav = 0, nat = 7, ntyp = 3
/
ATOMIC_SPECIES
La 138.91 La.upf
Pd 106.42 Pd.upf
Pt 195.08 Pt.upf
ATOMIC_POSITIONS crystal
La 0.0000 0.0000 0.0000
La 0.3694 0.3694 0.0000
La 0.6809 0.1809 0.5000
Pd 0.2527 0.7527 0.5000
Pt 0.1192 0.6192 0.5000
Pt 0.5254 0.5254 0.0000
Pt 0.8438 0.8438 0.0000
CELL_PARAMETERS angstrom
-2.0097 2.1494 9.9538
2.0097 -2.1494 9.9538
2.0097 2.1494 -9.9538
! energy relative to the elements = -1.0754 eV per atom
! magnetic moment = 0.0 μB/f.u.
! SG = No. 44

---

Entry 8:
! La3PdPt PBE optimized geometry; values from VASP
&SYSTEM
  ibrav = 0, nat = 10, ntyp = 3
/
ATOMIC_SPECIES
La 138.91 La.upf
Pd 106.42 Pd.upf
Pt 195.08 Pt.upf
ATOMIC_POSITIONS crystal
La 0.0475 0.0475 0.3622
La 0.2689 0.2689 0.3279
La 0.3731 0.3731 0.0403
La 0.6269 0.6269 0.9597
La 0.7311 0.7311 0.6721
La 0.9525 0.9525 0.6378
Pd 0.3654 0.3654 0.7038
Pd 0.6346 0.6346 0.2962
Pt 0.1577 0.1577 0.7781
Pt 0.8423 0.8423 0.2219
CELL_PARAMETERS angstrom
7.9295 -2.3656 0.0000
7.9295 2.3656 0.0000
-4.2577 0.0000 8.1239
! energy relative to the elements = -0.7448 eV per atom
! magnetic moment = 0.0 μB/f.u.
! SG = No. 12

---

Entry 9:
! LaPd4Pt2 PBE optimized geometry; values from VASP
&SYSTEM
  ibrav = 0, nat = 7, ntyp = 3
/
ATOMIC_SPECIES
La 138.91 La.upf
Pd 106.42 Pd.upf
Pt 195.08 Pt.upf
ATOMIC_POSITIONS crystal
La 0.0000 0.0000 0.0000
Pd 0.2787 0.5000 0.7787
Pd 0.5000 0.2787 0.7787
Pd 0.5000 0.7213 0.2213
Pd 0.7213 0.5000 0.2213
Pt 0.2500 0.7500 0.5000
Pt 0.7500 0.2500 0.5000
CELL_PARAMETERS angstrom
-4.0442 4.0442 2.5978
4.0442 -4.0442 2.5978
4.0442 4.0442 -2.5978
! energy relative to the elements = 0.1338 eV per atom
! magnetic moment = 0.0 μB/f.u.
! SG = No. 139

---

Entry 10:
! LaPdPt PBE optimized geometry; values from VASP
&SYSTEM
  ibrav = 0, nat = 3, ntyp = 3
/
ATOMIC_SPECIES
La 138.91 La.upf
Pd 106.42 Pd.upf
Pt 195.08 Pt.upf
ATOMIC_POSITIONS crystal
La 0.0000 0.0000 0.0000
Pd 0.3333 0.6667 0.5000
Pt 0.6667 0.3333 0.5000
CELL_PARAMETERS angstrom
4.5356 0.0000 0.0000
-2.2678 3.9279 0.0000
0.0000 0.0000 3.8717
! energy relative to the elements = -0.8861 eV per atom
! magnetic moment = 0.0 μB/f.u.
! SG = No. 187

---

Entry 11:
! La3PdPt PBE optimized geometry; values from VASP
&SYSTEM
  ibrav = 0, nat = 10, ntyp = 3
/
ATOMIC_SPECIES
La 138.91 La.upf
Pd 106.42 Pd.upf
Pt 195.08 Pt.upf
ATOMIC_POSITIONS crystal
La 0.0368 0.2022 0.1046
La 0.3257 0.2218 0.4772
La 0.3543 0.6719 0.2209
La 0.6457 0.3281 0.7791
La 0.6743 0.7782 0.5228
La 0.9632 0.7978 0.8954
Pd 0.1512 0.5252 0.6736
Pd 0.8488 0.4748 0.3264
Pt 0.4307 0.9692 0.8343
Pt 0.5693 0.0308 0.1657
CELL_PARAMETERS angstrom
5.6129 0.0000 0.0000
1.3968 7.5403 0.0000
2.7871 1.8724 6.9012
! energy relative to the elements = -0.7520 eV per atom
! magnetic moment = 0.0 μB/f.u.
! SG = No. 2

---

Entry 12:
! LaPd3Pt2 PBE optimized geometry; values from VASP
&SYSTEM
  ibrav = 0, nat = 12, ntyp = 3
/
ATOMIC_SPECIES
La 138.91 La.upf
Pd 106.42 Pd.upf
Pt 195.08 Pt.upf
ATOMIC_POSITIONS crystal
La 0.2202 0.2202 0.2202
La 0.7798 0.7798 0.7798
Pd 0.2343 0.7212 0.7212
Pd 0.2788 0.2788 0.7657
Pd 0.2788 0.7657 0.2788
Pd 0.7212 0.2343 0.7212
Pd 0.7212 0.7212 0.2343
Pd 0.7657 0.2788 0.2788
Pt 0.0000 0.0000 0.0000
Pt 0.0000 0.5000 0.5000
Pt 0.5000 0.0000 0.5000
Pt 0.5000 0.5000 0.0000
CELL_PARAMETERS angstrom
2.8945 1.6711 7.3172
-2.8945 1.6711 7.3172
0.0000 -3.3423 7.3172
! energy relative to the elements = -0.5245 eV per atom
! magnetic moment = 0.0 μB/f.u.
! SG = No. 166

---

| no. | mass density (g/cm3) | DFT total energy (eV/cell) |
| --- | --- | --- |
| 1 | 10.07 | -92.7 |
| 2 | 10.01 | -22.6 |
| 3 | 14.78 | -79.7 |
| 4 | 16.79 | -119.9 |
| 5 | 11.36 | -18.4 |
| 6 | 9.76 | -24.8 |
| 7 | 10.70 | -45.6 |
| 8 | 7.83 | -59.5 |
| 9 | 9.33 | -36.8 |
| 10 | 10.60 | -18.8 |
| 11 | 8.17 | -59.6 |
| 12 | 13.27 | -71.5 |